A geometry-optimized MoSe2BrO structure. Source: Alexandria, functional PBE+U.

Unit cell a=4.8662 b=4.8662 c=5.1015 alpha=90.00 beta=90.00 gamma=90.00
Fractional positions:
Mo1 0.0000 0.0000 0.0000
Se1 0.0000 0.5000 0.0000
Se2 0.5000 0.0000 0.0000
Br1 0.0000 0.0000 0.5000
O1 0.5000 0.5000 0.5000

Output
Excess energy over the best structure of this formula in the dataset in eV per atom: 0.551
E in eV per formula unit: -15.95
Total magnetization in μB per formula unit: 0.000